[1]
Below is a geometry-optimized Nd5YTm12 structure, with properties calculated at the PBE-GGA level.

Computed properties:
- Total magnetic moment: 0.00 Bohr magnetons per cell
- Calculated total energy: -0.3411 Ry/atom
- DFT formation energy: 42 kJ/mol of formula units

```
Nd5YTm12
1.0
-6.3933 7.9525 2.9685
-9.7934 -2.0964 3.5480
3.4829 0.9486 4.9619
Tm Nd Y
12 5 1
Direct
0.6661 0.3323 0.9993
0.3311 0.0000 0.0002
0.8354 0.6669 0.4998
0.1677 0.9999 0.5001
0.4978 0.6669 0.4999
0.3339 0.6677 0.0007
0.6689 0.0000 0.9998
0.0016 0.3323 0.9993
0.9984 0.6678 0.0007
0.8323 0.0001 0.4999
0.5022 0.3331 0.5001
0.1646 0.3331 0.5002
0.8338 0.3324 0.5005
0.5000 0.0000 0.5000
0.6668 0.6666 0.9995
0.1662 0.6676 0.4995
0.3332 0.3334 0.0005
0.0000 0.0000 0.0000
```

[2]
Below is a geometry-optimized NdY3Tm4 structure, with properties calculated at the PBE-GGA level.

Computed properties:
- Total magnetic moment: 0.00 Bohr magnetons per cell
- Calculated total energy: -0.3732 Ry/atom
- DFT formation energy: 138 kJ/mol of formula units
- E above lowest polymorph: 172.9 meV per atom

```
NdY3Tm4
1.0
3.4158 0.0000 -0.4310
-0.1737 6.5064 -1.3767
-0.2396 -0.9150 11.8529
Tm Y Nd
4 3 1
Direct
0.2603 0.7530 0.5206
0.7397 0.2470 0.4794
0.8737 0.6311 0.7474
0.1263 0.3689 0.2526
0.1279 0.8815 0.2558
0.8721 0.1185 0.7442
0.0000 0.5000 0.0000
0.5000 0.0000 0.0000
```

[3]
Below is a geometry-optimized Nd4YTm8 structure, with properties calculated at the PBE-GGA level.

Computed properties:
- Total magnetic moment: 1.87 Bohr magnetons per cell
- Calculated total energy: -0.3081 Ry/atom
- DFT formation energy: 658 kJ/mol of formula units

```
Nd4YTm8
1.0
-10.4155 2.8430 2.0034
3.4691 -10.1508 2.3466
6.9466 2.8356 1.9969
Tm Y Nd
8 1 4
Direct
0.0002 0.2403 0.2404
0.4806 0.2403 0.2404
0.9998 0.7597 0.7596
0.5194 0.7597 0.7596
0.5198 0.7599 0.2797
0.4802 0.2401 0.7203
0.0002 0.7599 0.2404
0.9998 0.2401 0.7596
0.0000 0.5000 0.5000
0.0000 0.0000 0.0000
0.5000 0.0000 0.0000
0.5000 0.5000 0.0000
0.0000 0.5000 0.0000
```

[4]
Below is a geometry-optimized NdY3Tm12 structure, with properties calculated at the PBE-GGA level.

Computed properties:
- Total magnetic moment: 0.00 Bohr magnetons per cell
- Calculated total energy: -0.3554 Ry/atom
- DFT formation energy: 44 kJ/mol of formula units

```
NdY3Tm12
1.0
4.9716 0.0000 0.0000
0.0000 4.9716 0.0000
0.0000 0.0000 19.8938
Tm Nd Y
12 1 3
Direct
0.5000 0.0000 0.8740
0.0000 0.5000 0.1260
0.5000 0.5000 0.0000
0.0000 0.5000 0.6247
0.5000 0.0000 0.3753
0.5000 0.0000 0.6247
0.5000 0.5000 0.2511
0.5000 0.0000 0.1260
0.5000 0.5000 0.5000
0.5000 0.5000 0.7489
0.0000 0.5000 0.3753
0.0000 0.5000 0.8740
0.0000 0.0000 0.0000
0.0000 0.0000 0.2506
0.0000 0.0000 0.5000
0.0000 0.0000 0.7494
```

[5]
Below is a geometry-optimized Nd6Y2Tm5 structure, with properties calculated at the PBE-GGA level.

Computed properties:
- Total magnetic moment: 0.00 Bohr magnetons per cell
- Calculated total energy: -0.3537 Ry/atom
- DFT formation energy: 129 kJ/mol of formula units

```
Nd6Y2Tm5
1.0
-2.3981 -0.6387 2.6325
8.3796 -5.1453 6.3848
4.5665 18.0262 8.5334
Nd Y Tm
12 4 10
Direct
0.0000 0.0823 0.3660
0.0000 0.9419 0.9204
0.0000 0.0581 0.0796
0.0000 0.9177 0.6340
0.5000 0.1736 0.6313
0.0000 0.4177 0.8660
0.0000 0.5581 0.4204
0.0000 0.4419 0.5796
0.0000 0.5823 0.1340
0.5000 0.3264 0.1313
0.5000 0.8264 0.3687
0.5000 0.6736 0.8687
0.0000 0.6638 0.7115
0.0000 0.1638 0.7885
0.0000 0.8362 0.2115
0.0000 0.3362 0.2885
0.5000 0.0000 0.5000
0.5000 0.9042 0.7750
0.5000 0.0958 0.2250
0.5000 0.4042 0.7250
0.5000 0.1998 0.9444
0.5000 0.3002 0.4444
0.5000 0.5958 0.2750
0.5000 0.8002 0.0556
0.5000 0.6998 0.5556
0.5000 0.5000 0.0000
```

[6]
Below is a geometry-optimized Nd5Y2Tm12 structure, with properties calculated at the PBE-GGA level.

Computed properties:
- Total magnetic moment: 0.00 Bohr magnetons per cell
- Calculated total energy: -0.3364 Ry/atom
- DFT formation energy: 333 kJ/mol of formula units

```
Nd5Y2Tm12
1.0
7.0013 0.0000 0.0000
-3.5007 8.7230 2.6265
0.0000 0.7684 10.3203
Y Nd Tm
2 5 12
Direct
0.2701 0.0000 0.0000
0.7299 0.0000 0.0000
0.1884 0.3768 0.8171
0.0000 0.0000 0.5000
0.6828 0.3656 0.7894
0.3172 0.6344 0.2106
0.8116 0.6232 0.1829
0.4970 0.9940 0.6735
0.4155 0.3250 0.4785
0.9095 0.3250 0.4785
0.0890 0.6842 0.8687
0.5845 0.6750 0.5215
0.0905 0.6750 0.5215
0.5030 0.0060 0.3265
0.5951 0.6842 0.8687
0.9110 0.3158 0.1313
0.4049 0.3158 0.1313
0.0252 0.0503 0.7518
0.9748 0.9497 0.2482
```

[7]
Below is a geometry-optimized Nd3Y6Tm structure, with properties calculated at the PBE-GGA level.

Computed properties:
- Total magnetic moment: 0.00 Bohr magnetons per cell
- Calculated total energy: -0.4045 Ry/atom
- DFT formation energy: 244 kJ/mol of formula units
- E above lowest polymorph: 109.8 meV per atom

```
Nd3Y6Tm
1.0
8.7812 0.0000 4.6599
3.1542 8.1952 4.6599
2.2347 1.5344 6.3926
Nd Y Tm
3 6 1
Direct
0.3503 0.3503 0.9490
0.6002 0.6002 0.1995
0.1001 0.1001 0.6998
0.0958 0.4298 0.7006
0.9261 0.6038 0.2002
0.6038 0.2699 0.2002
0.7738 0.0958 0.7006
0.4298 0.7738 0.7006
0.2699 0.9261 0.2002
0.8502 0.8502 0.4493
```

[8]
Below is a geometry-optimized Nd7YTm3 structure, with properties calculated at the PBE-GGA level.

Computed properties:
- Total magnetic moment: 0.00 Bohr magnetons per cell
- Calculated total energy: -0.3424 Ry/atom
- DFT formation energy: 194 kJ/mol of formula units
- E above lowest polymorph: 0.0 meV per atom

```
Nd7YTm3
1.0
9.7766 -2.4288 -2.0239
-5.6547 8.3320 2.0273
-2.4985 1.7452 12.2127
Nd Tm Y
14 6 2
Direct
0.8344 0.1506 0.7274
0.4205 0.0851 0.5276
0.1515 0.8350 0.7726
0.0832 0.4200 0.4708
0.4202 0.0834 0.0293
0.2806 0.2806 0.7501
0.5795 0.9149 0.4724
0.5798 0.9166 0.9707
0.7194 0.7194 0.2499
0.0849 0.4202 0.9724
0.9151 0.5798 0.0276
0.8485 0.1650 0.2274
0.9168 0.5800 0.5292
0.1656 0.8494 0.2726
0.3250 0.6665 0.7251
0.6672 0.3258 0.7749
0.6750 0.3335 0.2749
0.3328 0.6742 0.2251
0.0000 0.0000 0.0000
0.0000 0.0000 0.5000
0.5000 0.5000 0.5000
0.5000 0.5000 0.0000
```